DFT (PBEsol) results for a relaxed YSbI2N crystal.

Structure (extended XYZ):
```
5
Lattice="-0.8430 3.3324 2.1338 2.0824 -2.6682 4.9896 5.5170 2.1379 -1.1593" Properties=species:S:1:pos:R:3 pbc="T T T"
I 2.7585 1.0689 -0.5796
I 1.0412 -1.3341 2.4948
Sb 3.3782 1.4010 2.9821
Y 0.0000 0.0000 0.0000
N -0.4215 1.6662 1.0669
```

DOS(E_F) in states/eV/f.u.: 5.02
SG: P4/mmm
E_form (uncorrected) in eV/atom: 0.021
DFT total energy in eV per atom: -4.667

=====

DFT (PBEsol) results for a relaxed SrAs2S crystal.

Structure (extended XYZ):
```
8
Lattice="5.5921 0.0000 0.0000 2.7961 5.7938 0.0000 2.7961 0.0000 5.7938" Properties=species:S:1:pos:R:3 pbc="T T T"
Sr 6.9901 2.8969 2.8969
Sr 0.0000 0.0000 0.0000
As 4.8931 5.5190 2.6221
As 4.8931 0.2748 3.1717
As 3.4951 2.6221 0.2748
As 9.0872 3.1717 5.5190
S 4.1941 2.8969 2.8969
S 2.7961 0.0000 0.0000
```

DOS(E_F) in states/eV/f.u.: 2.39
SG: I-42d
E_form (uncorrected) in eV/atom: -0.289
DFT total energy in eV per atom: -4.398

=====

DFT (PBEsol) results for a relaxed SbOsPt crystal.

Structure (extended XYZ):
```
3
Lattice="-0.7362 1.7317 2.5782 -3.1011 -0.5553 -0.5125 2.1794 -4.5996 1.7360" Properties=species:S:1:pos:R:3 pbc="T T T"
Os -1.6635 -3.3372 3.7422
Pt -1.8288 -0.7937 1.9866
Sb 0.1765 -2.7157 1.8744
```

DOS(E_F) in states/eV/f.u.: 2.54
SG: I4mm
E_form (uncorrected) in eV/atom: 0.488
DFT total energy in eV per atom: -7.424